NdTl2AsSe4: relaxed, PBE-GGA.

Unit cell a=8.6809 b=8.6809 c=8.6809 alpha=120.60 beta=119.56 gamma=89.87
Last column: nearest neighbours and their distance in Å.
Fractional positions:
Nd  0.0000  0.0000  0.0000  6 Se 2.97-2.99
Nd  0.5000  0.0000  0.5000  6 Se 2.97-2.99
Tl  0.0000  0.5000  0.5000  6 Se 3.19-3.20
Tl  0.5000  0.0000  0.0000  6 Se 3.32-3.35
Tl  0.5000  0.5000  0.0000  6 Se 3.19-3.20
Tl  0.5000  0.5000  0.5000  6 Se 3.32-3.35
As  0.0000  0.0000  0.5000  6 Se 2.80-2.83
As  0.0000  0.5000  0.0000  6 Se 2.80-2.83
Se  0.2019  0.2418  0.9600  2 As 2.83, 1 Nd 2.99
Se  0.2182  0.7582  0.4600  2 As 2.83, 1 Nd 2.99
Se  0.2274  0.2083  0.4809  1 As 2.80, 2 Nd 2.97
Se  0.2274  0.7465  0.0191  1 As 2.80, 2 Nd 2.97
Se  0.7726  0.2535  0.9809  1 As 2.80, 2 Nd 2.97
Se  0.7726  0.7917  0.5191  1 As 2.80, 2 Nd 2.97
Se  0.7818  0.2418  0.5400  2 As 2.83, 1 Nd 2.99
Se  0.7981  0.7582  0.0400  2 As 2.83, 1 Nd 2.99

**Formation energy from raw total energies**: -734 meV/atom
**Volume**: 462.0 Å³/cell
**Uncorrected energy**: -4.245 eV per atom